Below is an optimized crystal structure of SbAu124, with properties calculated at the PBE-GGA level.

Summary:
space-group type	No. 225

The structure in POSCAR format:
```
SbAu124
1.0
0.000 10.319 10.319
10.319 0.000 10.319
10.319 10.319 0.000
Sb Au
1 124
Direct
0.000 0.000 0.000 Sb
0.000 0.000 0.203 Au
0.000 0.000 0.401 Au
0.000 0.000 0.599 Au
0.000 0.000 0.797 Au
0.000 0.200 0.400 Au
0.000 0.201 0.201 Au
0.000 0.201 0.599 Au
0.000 0.203 0.000 Au
0.000 0.203 0.797 Au
0.000 0.400 0.200 Au
0.000 0.400 0.400 Au
0.000 0.401 0.000 Au
0.000 0.401 0.599 Au
0.000 0.401 0.799 Au
0.000 0.599 0.000 Au
0.000 0.599 0.201 Au
0.000 0.599 0.401 Au
0.000 0.600 0.600 Au
0.000 0.600 0.800 Au
0.000 0.797 0.000 Au
0.000 0.797 0.203 Au
0.000 0.799 0.401 Au
0.000 0.799 0.799 Au
0.000 0.800 0.600 Au
0.200 0.000 0.400 Au
0.200 0.200 0.200 Au
0.200 0.200 0.400 Au
0.200 0.200 0.800 Au
0.200 0.400 0.000 Au
0.200 0.400 0.200 Au
0.200 0.400 0.400 Au
0.200 0.400 0.600 Au
0.200 0.400 0.800 Au
0.200 0.600 0.400 Au
0.200 0.600 0.600 Au
0.200 0.600 0.800 Au
0.200 0.800 0.200 Au
0.200 0.800 0.400 Au
0.200 0.800 0.600 Au
0.200 0.800 0.800 Au
0.201 0.000 0.201 Au
0.201 0.000 0.599 Au
0.201 0.201 0.000 Au
0.201 0.201 0.599 Au
0.201 0.599 0.000 Au
0.201 0.599 0.201 Au
0.203 0.000 0.000 Au
0.203 0.000 0.797 Au
0.203 0.797 0.000 Au
0.400 0.000 0.200 Au
0.400 0.000 0.400 Au
0.400 0.200 0.000 Au
0.400 0.200 0.200 Au
0.400 0.200 0.400 Au
0.400 0.200 0.600 Au
0.400 0.200 0.800 Au
0.400 0.400 0.000 Au
0.400 0.400 0.200 Au
0.400 0.400 0.400 Au
0.400 0.400 0.600 Au
0.400 0.400 0.800 Au
0.400 0.600 0.200 Au
0.400 0.600 0.400 Au
0.400 0.600 0.600 Au
0.400 0.600 0.800 Au
0.400 0.800 0.200 Au
0.400 0.800 0.400 Au
0.400 0.800 0.600 Au
0.401 0.000 0.000 Au
0.401 0.000 0.599 Au
0.401 0.000 0.799 Au
0.401 0.599 0.000 Au
0.401 0.799 0.000 Au
0.401 0.799 0.799 Au
0.599 0.000 0.000 Au
0.599 0.000 0.201 Au
0.599 0.000 0.401 Au
0.599 0.201 0.000 Au
0.599 0.201 0.201 Au
0.599 0.401 0.000 Au
0.600 0.000 0.600 Au
0.600 0.000 0.800 Au
0.600 0.200 0.400 Au
0.600 0.200 0.600 Au
0.600 0.200 0.800 Au
0.600 0.400 0.200 Au
0.600 0.400 0.400 Au
0.600 0.400 0.600 Au
0.600 0.400 0.800 Au
0.600 0.600 0.000 Au
0.600 0.600 0.200 Au
0.600 0.600 0.400 Au
0.600 0.600 0.600 Au
0.600 0.600 0.800 Au
0.600 0.800 0.000 Au
0.600 0.800 0.200 Au
0.600 0.800 0.400 Au
0.600 0.800 0.600 Au
0.600 0.800 0.800 Au
0.797 0.000 0.000 Au
0.797 0.000 0.203 Au
0.797 0.203 0.000 Au
0.799 0.000 0.401 Au
0.799 0.000 0.799 Au
0.799 0.401 0.000 Au
0.799 0.401 0.799 Au
0.799 0.799 0.000 Au
0.799 0.799 0.401 Au
0.800 0.000 0.600 Au
0.800 0.200 0.200 Au
0.800 0.200 0.400 Au
0.800 0.200 0.600 Au
0.800 0.200 0.800 Au
0.800 0.400 0.200 Au
0.800 0.400 0.400 Au
0.800 0.400 0.600 Au
0.800 0.600 0.000 Au
0.800 0.600 0.200 Au
0.800 0.600 0.400 Au
0.800 0.600 0.600 Au
0.800 0.600 0.800 Au
0.800 0.800 0.200 Au
0.800 0.800 0.600 Au
0.800 0.800 0.800 Au
```

Below is an optimized crystal structure of DyYNi2B2N2, with properties calculated at the PBE-GGA level.

Summary:
space-group type	No. 99
size of the total moment	0.0	Bohr magnetons per cell

The structure in POSCAR format:
```
DyYNi2B2N2
1.0
3.495 0.000 0.000
0.000 3.495 0.000
0.000 0.000 7.519
Dy Y Ni B N
1 1 2 2 2
Direct
0.000 0.000 0.000 Dy
0.500 0.500 0.335 Y
0.000 0.500 0.668 Ni
0.500 0.000 0.668 Ni
0.000 0.000 0.507 B
0.500 0.500 0.829 B
0.000 0.000 0.313 N
0.500 0.500 0.023 N
```

Below is an optimized crystal structure of Cu2GeS3, with properties calculated at the PBE-GGA level.

Summary:
space-group type	No. 44

The structure in POSCAR format:
```
Cu2GeS3
1.0
3.807 0.000 0.000
0.000 11.211 0.000
0.000 0.000 5.283
Cu Ge S
4 2 6
Direct
0.000 0.169 0.000 Cu
0.000 0.831 0.000 Cu
0.500 0.331 0.500 Cu
0.500 0.669 0.500 Cu
0.000 0.500 0.971 Ge
0.500 0.000 0.471 Ge
0.000 0.000 0.742 S
0.000 0.332 0.740 S
0.000 0.668 0.740 S
0.500 0.168 0.240 S
0.500 0.500 0.242 S
0.500 0.832 0.240 S
```

Below is an optimized crystal structure of Er2AlCoNi, with properties calculated at the PBE-GGA level.

Summary:
space-group type	No. 44
size of the total moment	0.0	Bohr magnetons per cell

The structure in POSCAR format:
```
Er2AlCoNi
1.0
4.078 0.000 0.000
0.000 8.227 0.000
0.000 0.000 5.430
Er Al Co Ni
4 2 2 2
Direct
0.000 0.202 0.000 Er
0.000 0.798 0.000 Er
0.500 0.298 0.500 Er
0.500 0.702 0.500 Er
0.000 0.000 0.509 Al
0.500 0.500 0.009 Al
0.000 0.500 0.274 Co
0.500 0.000 0.774 Co
0.000 0.500 0.736 Ni
0.500 0.000 0.236 Ni
```

Below is an optimized crystal structure of HfCoCuBi, with properties calculated at the PBE-GGA level.

Summary:
space-group type	No. 216
size of the total moment	0.1	Bohr magnetons per cell

The structure in POSCAR format:
```
HfCoCuBi
1.0
6.484 0.000 0.000
0.000 6.484 0.000
0.000 0.000 6.484
Hf Co Cu Bi
4 4 4 4
Direct
0.000 0.000 0.000 Hf
0.000 0.500 0.500 Hf
0.500 0.000 0.500 Hf
0.500 0.500 0.000 Hf
0.250 0.250 0.750 Co
0.250 0.750 0.250 Co
0.750 0.250 0.250 Co
0.750 0.750 0.750 Co
0.250 0.250 0.250 Cu
0.250 0.750 0.750 Cu
0.750 0.250 0.750 Cu
0.750 0.750 0.250 Cu
0.000 0.000 0.500 Bi
0.000 0.500 0.000 Bi
0.500 0.000 0.000 Bi
0.500 0.500 0.500 Bi
```

Below is an optimized crystal structure of TbBeTlTe3, with properties calculated at the PBE-GGA level.

Summary:
space-group type	No. 63
size of the total moment	0.0	Bohr magnetons per cell

The structure in POSCAR format:
```
TbBeTlTe3
1.0
2.118 -7.852 0.000
2.118 7.852 0.000
0.000 0.000 11.596
Tb Be Tl Te
2 2 2 6
Direct
0.000 0.000 0.000 Tb
0.000 0.000 0.500 Tb
0.465 0.535 0.750 Be
0.535 0.465 0.250 Be
0.248 0.752 0.250 Tl
0.752 0.248 0.750 Tl
0.063 0.937 0.750 Te
0.371 0.629 0.577 Te
0.371 0.629 0.923 Te
0.629 0.371 0.077 Te
0.629 0.371 0.423 Te
0.937 0.063 0.250 Te
```

Number 1: uncorrected energy -408.335 eV/cell. Number 2: uncorrected energy -60.972 eV/cell. Number 3: uncorrected energy -52.779 eV/cell. Number 4: uncorrected energy -56.114 eV/cell. Number 5: uncorrected energy -98.206 eV/cell. Number 6: uncorrected energy -49.601 eV/cell.